Material: Ac5La2Pt5
Method: DFT, PBE
State: relaxed

a b c (Å): 7.5002 7.5002 13.0205
angles (deg): 104.14 104.14 33.11
Closest atoms and distances in Å follow each position.
Atoms (fractional coordinates):
Ac 0.0000 0.0000 0.0000  4 Pt 3.05
Ac 0.1548 0.1548 0.5517  5 Pt 3.04-3.25
Ac 0.2419 0.2419 0.8587  3 Pt 3.04-3.09
Ac 0.7581 0.7581 0.1413  3 Pt 3.04-3.09
Ac 0.8452 0.8452 0.4483  5 Pt 3.04-3.25
La 0.4595 0.4595 0.7137  4 Pt 2.98-3.02
La 0.5405 0.5405 0.2863  4 Pt 2.98-3.02
Pt 0.1897 0.1897 0.3169  2 La 2.98, 3 Ac 3.22-3.25
Pt 0.3849 0.3849 0.0802  1 La 3.02, 5 Ac 3.04-3.09
Pt 0.5000 0.5000 0.5000  2 La 2.98, 4 Ac 3.04
Pt 0.6151 0.6151 0.9198  1 La 3.02, 5 Ac 3.04-3.09
Pt 0.8103 0.8103 0.6831  2 La 2.98, 3 Ac 3.22-3.25

Values from the calculation:
Symmetry   C2/m (12)
Final energy   -6.06 eV per atom
Magnetic moment   0.00 μB per formula unit
Formation enthalpy at 0 K   -1.012 eV per atom
N(E_F)   0.5677 states/eV per atom



Material: AcLa2Pt2
Method: DFT, PBE
State: relaxed

a b c (Å): 8.2326 8.2326 4.1552
angles (deg): 90.00 90.00 90.00
Closest atoms and distances in Å follow each position.
Atoms (fractional coordinates):
Ac 0.0000 0.0000 0.0000  4 Pt 3.21
Ac 0.5000 0.5000 0.0000  4 Pt 3.21
La 0.1579 0.3421 0.5000  6 Pt 3.19
La 0.3421 0.8421 0.5000  6 Pt 3.19
La 0.6579 0.1579 0.5000  6 Pt 3.19
La 0.8421 0.6579 0.5000  6 Pt 3.19
Pt 0.1345 0.6345 0.0000  1 Pt 3.13, 6 La 3.19, 2 Ac 3.21
Pt 0.3655 0.1345 0.0000  1 Pt 3.13, 6 La 3.19, 2 Ac 3.21
Pt 0.6345 0.8655 0.0000  1 Pt 3.13, 6 La 3.19, 2 Ac 3.21
Pt 0.8655 0.3655 0.0000  1 Pt 3.13, 6 La 3.19, 2 Ac 3.21

Values from the calculation:
Symmetry   P4/mbm (127)
Final energy   -6.13 eV per atom
Magnetic moment   0.00 μB per formula unit
Formation enthalpy at 0 K   -0.924 eV per atom
N(E_F)   0.7827 states/eV per atom
Excess energy over the best structure of this formula in the dataset   5.1 kJ/mol of atoms



Material: AcLaPt2
Method: DFT, PBE
State: relaxed

a b c (Å): 3.7269 3.7269 7.4325
angles (deg): 90.00 90.00 90.00
Closest atoms and distances in Å follow each position.
Atoms (fractional coordinates):
Ac 0.0000 0.0000 0.0000  8 Pt 3.29
La 0.0000 0.0000 0.5000  8 Pt 3.16
Pt 0.5000 0.5000 0.2651  4 La 3.16, 4 Ac 3.29, 1 Pt 3.49
Pt 0.5000 0.5000 0.7349  4 La 3.16, 4 Ac 3.29, 1 Pt 3.49

Values from the calculation:
Symmetry   P4/mmm (123)
Final energy   -6.33 eV per atom
Magnetic moment   0.00 μB per formula unit
Formation enthalpy at 0 K   -1.048 eV per atom
N(E_F)   0.6304 states/eV per atom
Excess energy over the best structure of this formula in the dataset   12.4 kJ/mol of atoms



Material: AcLa5Pt6
Method: DFT, PBE
State: relaxed

a b c (Å): 7.4120 7.4120 7.4161
angles (deg): 99.59 99.59 120.14
Closest atoms and distances in Å follow each position.
Atoms (fractional coordinates):
Ac 0.0000 0.0000 0.0000  6 Pt 3.07
La 0.1654 0.8346 0.5000  6 Pt 2.99-3.03
La 0.3328 0.6672 0.0000  6 Pt 3.01-3.02
La 0.5000 0.5000 0.5000  6 Pt 2.98-3.03
La 0.6672 0.3328 0.0000  6 Pt 3.01-3.02
La 0.8346 0.1654 0.5000  6 Pt 2.99-3.03
Pt 0.0844 0.4237 0.2530  5 La 2.99-3.03, 1 Ac 3.07
Pt 0.2553 0.2553 0.7477  5 La 2.98-3.02, 1 Ac 3.07
Pt 0.4237 0.0844 0.2530  5 La 2.99-3.03, 1 Ac 3.07
Pt 0.5763 0.9156 0.7470  5 La 2.99-3.03, 1 Ac 3.07
Pt 0.7447 0.7447 0.2523  5 La 2.98-3.02, 1 Ac 3.07
Pt 0.9156 0.5763 0.7470  5 La 2.99-3.03, 1 Ac 3.07

Values from the calculation:
Symmetry   C2/m (12)
Final energy   -6.58 eV per atom
Magnetic moment   0.00 μB per formula unit
Formation enthalpy at 0 K   -1.165 eV per atom
N(E_F)   0.6092 states/eV per atom



Material: AcLa4Pt5
Method: DFT, PBE
State: relaxed

a b c (Å): 7.4164 7.4164 7.4164
angles (deg): 99.60 99.60 131.81
Closest atoms and distances in Å follow each position.
Atoms (fractional coordinates):
Ac 0.0000 0.0000 0.0000  6 Pt 3.03-3.09
La 0.1997 0.3978 0.5974  6 Pt 2.99-3.04
La 0.3978 0.8003 0.1981  6 Pt 2.99-3.04
La 0.6022 0.1997 0.8019  6 Pt 2.99-3.04
La 0.8003 0.6022 0.4026  6 Pt 2.99-3.04
Pt 0.1022 0.6943 0.7965  5 La 2.99-3.03, 1 Ac 3.09
Pt 0.3057 0.1022 0.4080  5 La 2.99-3.03, 1 Ac 3.09
Pt 0.5000 0.5000 0.0000  2 Ac 3.03, 4 La 3.04
Pt 0.6943 0.8978 0.5920  5 La 2.99-3.03, 1 Ac 3.09
Pt 0.8978 0.3057 0.2035  5 La 2.99-3.03, 1 Ac 3.09

Values from the calculation:
Symmetry   I4/m (87)
Final energy   -6.57 eV per atom
Magnetic moment   0.00 μB per formula unit
Formation enthalpy at 0 K   -1.165 eV per atom
N(E_F)   0.5934 states/eV per atom



Material: Ac2LaPt
Method: DFT, PBE
State: relaxed

a b c (Å): 3.8449 3.8449 9.4295
angles (deg): 90.00 90.00 90.00
Closest atoms and distances in Å follow each position.
Atoms (fractional coordinates):
Ac 0.0000 0.0000 0.1890  4 Pt 3.25, 1 Ac 3.56
Ac 0.0000 0.0000 0.8110  4 Pt 3.25, 1 Ac 3.56
La 0.5000 0.5000 0.5000  4 La 3.84, 8 Ac 4.00
Pt 0.5000 0.5000 0.0000  8 Ac 3.25

Values from the calculation:
Symmetry   P4/mmm (123)
Final energy   -5.27 eV per atom
Magnetic moment   0.00 μB per formula unit
Formation enthalpy at 0 K   -0.478 eV per atom
N(E_F)   1.2204 states/eV per atom
Excess energy over the best structure of this formula in the dataset   14.3 kJ/mol of atoms